a) Entry from Alexandria via LeMat-Bulk: AcPt4 after structural relaxation (PBE).

The space group is I-43m (No. 217) and the conventional cell measures 9.408, 9.408 and 9.408 Å, with angles of 90.00, 90.00 and 90.00 degrees. The inequivalent atoms are Ac at (0.223, 0.223, 0.777), Pt at (0.000, 0.000, 0.351), Pt at (0.000, 0.250, 0.500) and Pt at (0.103, 0.103, 0.103).

As for the crystal system: cubic. Its total moment is 0.00 μB/f.u.

=====

b) Entry from Alexandria via LeMat-Bulk: AcPt4 after structural relaxation (PBE).

The space group is Pm-3m (No. 221) and the conventional cell measures 5.279, 5.279 and 5.279 Å, with angles of 90.00, 90.00 and 90.00 degrees. The inequivalent atoms are Ac at (0.000, 0.000, 0.000), Pt at (0.000, 0.000, 0.500) and Pt at (0.500, 0.500, 0.500).

As for the crystal system: cubic. Its total moment is 0.00 μB/f.u.

=====

Going by the computed energies, the most stable comes first: a), b).

=====

a) Entry from Alexandria via LeMat-Bulk: Ac2Pt after structural relaxation (PBE).

The space group is Fmmm (No. 69) and the conventional cell measures 5.424, 5.448 and 13.896 Å, with angles of 90.00, 90.00 and 90.00 degrees. The inequivalent atoms are Ac at (0.000, 0.000, 0.128) and Pt at (0.000, 0.000, 0.500).

As for the crystal system: orthorhombic. Its total moment is 0.00 μB/f.u.

=====

b) Entry from Alexandria via LeMat-Bulk: Ac2Pt after structural relaxation (PBE).

The space group is I4_1/amd (No. 141, origin choice 2) and the conventional cell measures 6.140, 6.140 and 12.425 Å, with angles of 90.00, 90.00 and 90.00 degrees. The inequivalent atoms are Ac at (0.000, 0.250, 0.119) and Pt at (0.000, 0.250, 0.875).

As for the crystal system: tetragonal. Its total moment is 0.00 μB/f.u.

=====

c) Entry from Alexandria via LeMat-Bulk: Ac2Pt after structural relaxation (PBE).

The space group is Cmce (No. 64) and the conventional cell measures 4.505, 7.580 and 13.999 Å, with angles of 90.00, 90.00 and 90.00 degrees. The inequivalent atoms are Ac at (0.000, 0.163, 0.117) and Pt at (0.000, 0.000, 0.500).

As for the crystal system: orthorhombic. Its total moment is 0.00 μB/f.u.

=====

Going by the computed energies, the most stable comes first: c), b), a).

=====

a) Entry from Alexandria via LeMat-Bulk: AcPu2Pt4 after structural relaxation (PBE).

The space group is I4/mmm (No. 139) and the conventional cell measures 7.307, 7.307 and 5.790 Å, with angles of 90.00, 90.00 and 90.00 degrees. The inequivalent atoms are Ac at (0.000, 0.000, 0.000), Pu at (0.000, 0.500, 0.250) and Pt at (0.195, 0.195, 0.500).

As for the crystal system: tetragonal. Its total moment is 10.92 μB/f.u.

=====

b) Entry from Alexandria via LeMat-Bulk: AcPu2Pt4 after structural relaxation (PBE).

The space group is Immm (No. 71) and the conventional cell measures 3.985, 4.279 and 19.288 Å, with angles of 90.00, 90.00 and 90.00 degrees. The inequivalent atoms are Ac at (0.000, 0.000, 0.000), Pu at (0.000, 0.500, 0.188), Pt at (0.000, 0.000, 0.430) and Pt at (0.000, 0.500, 0.337).

As for the crystal system: orthorhombic. Its total moment is 10.51 μB/f.u.

=====

Going by the computed energies, the most stable comes first: b), a).

=====

a) Entry from Alexandria via LeMat-Bulk: AcPuPt2 after structural relaxation (PBE).

The space group is R-3m (No. 166, hexagonal axes) and the conventional cell measures 4.3228, 4.3228 and 19.9108 Å, with angles of 90.00, 90.00 and 120.00 degrees. The inequivalent atoms are Ac at (0.0000, 0.0000, 0.0000), Pu at (0.0000, 0.0000, 0.5000) and Pt at (0.0000, 0.0000, 0.2384).

As for the crystal system: trigonal. Its total moment is 5.25 μB/f.u.

=====

b) Entry from Alexandria via LeMat-Bulk: AcPuPt2 after structural relaxation (PBE).

The space group is R3m (No. 160, hexagonal axes) and the conventional cell measures 4.2058, 4.2058 and 21.3228 Å, with angles of 90.00, 90.00 and 120.00 degrees. The inequivalent atoms are Ac at (0.0000, 0.0000, 0.0000), Pu at (0.0000, 0.0000, 0.8276), Pt at (0.0000, 0.0000, 0.2355) and Pt at (0.0000, 0.0000, 0.4227).

As for the crystal system: trigonal. Its total moment is 5.16 μB/f.u.

=====

Going by the computed energies, the most stable comes first: a), b).

=====

a) Entry from Alexandria via LeMat-Bulk: AcPu2Pt after structural relaxation (PBE).

The space group is R-3m (No. 166, hexagonal axes) and the conventional cell measures 3.7857, 3.7857 and 31.7531 Å, with angles of 90.00, 90.00 and 120.00 degrees. The inequivalent atoms are Ac at (0.0000, 0.0000, 0.0000), Pu at (0.0000, 0.0000, 0.1095) and Pt at (0.0000, 0.0000, 0.5000).

As for the crystal system: trigonal. Its total moment is 12.02 μB/f.u.

=====

b) Entry from Alexandria via LeMat-Bulk: AcPu2Pt after structural relaxation (PBE).

The space group is P4/mmm (No. 123) and the conventional cell measures 3.724, 3.724 and 8.087 Å, with angles of 90.00, 90.00 and 90.00 degrees. The inequivalent atoms are Ac at (0.000, 0.000, 0.000), Pu at (0.500, 0.500, 0.313) and Pt at (0.000, 0.000, 0.500).

As for the crystal system: tetragonal. Its total moment is 11.56 μB/f.u.

=====

Going by the computed energies, the most stable comes first: b), a).

=====

a) Entry from Alexandria via LeMat-Bulk: AcPtRh after structural relaxation (PBE).

The space group is P-6m2 (No. 187) and the conventional cell measures 4.4486, 4.4486 and 4.2007 Å, with angles of 90.00, 90.00 and 120.00 degrees. The inequivalent atoms are Ac at (0.0000, 0.0000, 0.0000), Pt at (0.6667, 0.3333, 0.5000) and Rh at (0.3333, 0.6667, 0.5000).

As for the crystal system: hexagonal. Its total moment is 0.00 μB/f.u.

=====

b) Entry from Alexandria via LeMat-Bulk: AcPtRh after structural relaxation (PBE).

The space group is Immm (No. 71) and the conventional cell measures 4.441, 7.713 and 8.419 Å, with angles of 90.00, 90.00 and 90.00 degrees. The inequivalent atoms are Ac at (0.000, 0.000, 0.249), Pt at (0.000, 0.331, 0.500) and Rh at (0.000, 0.336, 0.000).

As for the crystal system: orthorhombic. Its total moment is 0.00 μB/f.u.

=====

Going by the computed energies, the most stable comes first: a), b).

=====

a) Entry from Alexandria via LeMat-Bulk: Ac2PtRh2 after structural relaxation (PBE).

The space group is C2/c (No. 15) and the conventional cell measures 10.021, 5.721 and 8.474 Å, with angles of 90.00, 105.63 and 90.00 degrees. The inequivalent atoms are Ac at (0.149, 0.143, 0.150), Pt at (0.000, 0.322, 0.750) and Rh at (0.128, 0.368, 0.504).

As for the crystal system: monoclinic. Its total moment is 0.00 μB/f.u.

=====

b) Entry from Alexandria via LeMat-Bulk: Ac2PtRh2 after structural relaxation (PBE).

The space group is P4/mbm (No. 127) and the conventional cell measures 7.610, 7.610 and 4.071 Å, with angles of 90.00, 90.00 and 90.00 degrees. The inequivalent atoms are Ac at (0.181, 0.319, 0.000), Pt at (0.000, 0.000, 0.500) and Rh at (0.130, 0.630, 0.500).

As for the crystal system: tetragonal. Its total moment is 0.00 μB/f.u.

=====

Going by the computed energies, the most stable comes first: a), b).

=====

a) Entry from Alexandria via LeMat-Bulk: Ac6PtRh2 after structural relaxation (PBE).

The space group is P-31m (No. 162) and the conventional cell measures 7.5881, 7.5881 and 6.9973 Å, with angles of 90.00, 90.00 and 120.00 degrees. The inequivalent atoms are Ac at (0.0000, 0.3392, 0.2294), Pt at (0.0000, 0.0000, 0.0000) and Rh at (0.3333, 0.6667, 0.0000).

As for the crystal system: trigonal. Its total moment is 0.00 μB/f.u.

=====

b) Entry from Alexandria via LeMat-Bulk: Ac6PtRh2 after structural relaxation (PBE).

The space group is C2/m (No. 12) and the conventional cell measures 14.015, 5.705 and 9.661 Å, with angles of 90.00, 117.40 and 90.00 degrees. The inequivalent atoms are Ac at (0.018, 0.000, 0.215), Ac at (0.145, 0.500, 0.572), Ac at (0.197, 0.500, 0.098), Pt at (0.000, 0.000, 0.500) and Rh at (0.181, 0.000, 0.098).

As for the crystal system: monoclinic. Its total moment is 0.00 μB/f.u.

=====

Going by the computed energies, the most stable comes first: a), b).

=====

a) Entry from Alexandria via LeMat-Bulk: Ac4Pt2Rh after structural relaxation (PBE).

The space group is P-1 (No. 2) and the conventional cell measures 4.445, 7.618 and 8.219 Å, with angles of 62.41, 74.31 and 89.93 degrees. The inequivalent atoms are Ac at (0.125, 0.282, 0.249), Ac at (0.372, 0.196, 0.758), Pt at (0.245, 0.746, 0.011) and Rh at (0.500, 0.000, 0.500).

As for the crystal system: triclinic. Its total moment is 0.00 μB/f.u.

=====

b) Entry from Alexandria via LeMat-Bulk: Ac4Pt2Rh after structural relaxation (PBE).

The space group is I4/mmm (No. 139) and the conventional cell measures 5.688, 5.688 and 14.846 Å, with angles of 90.00, 90.00 and 90.00 degrees. The inequivalent atoms are Ac at (0.000, 0.000, 0.201), Ac at (0.000, 0.500, 0.000), Pt at (0.000, 0.000, 0.394) and Rh at (0.000, 0.000, 0.000).

As for the crystal system: tetragonal. Its total moment is 0.00 μB/f.u.

=====

Going by the computed energies, the most stable comes first: a), b).

=====

a) Entry from Alexandria via LeMat-Bulk: SrAcPtRh after structural relaxation (PBE).

The space group is Amm2 (No. 38) and the conventional cell measures 4.396, 4.193 and 11.512 Å, with angles of 90.00, 90.00 and 90.00 degrees. The inequivalent atoms are Sr at (0.000, 0.000, 0.000), Ac at (0.500, 0.000, 0.721), Pt at (0.500, 0.000, 0.435) and Rh at (0.000, 0.000, 0.279).

As for the crystal system: orthorhombic. Its total moment is 0.00 μB/f.u.

=====

b) Entry from Alexandria via LeMat-Bulk: SrAcPtRh after structural relaxation (PBE).

The space group is F-43m (No. 216) and the conventional cell measures 7.390, 7.390 and 7.390 Å, with angles of 90.00, 90.00 and 90.00 degrees. The inequivalent atoms are Sr at (0.000, 0.000, 0.000), Ac at (0.000, 0.000, 0.500), Pt at (0.250, 0.250, 0.750) and Rh at (0.250, 0.250, 0.250).

As for the crystal system: cubic. Its total moment is 0.00 μB/f.u.

=====

Going by the computed energies, the most stable comes first: a), b).

=====

a) Entry from Alexandria via LeMat-Bulk: AcThPtRh after structural relaxation (PBE).

The space group is F-43m (No. 216) and the conventional cell measures 7.339, 7.339 and 7.339 Å, with angles of 90.00, 90.00 and 90.00 degrees. The inequivalent atoms are Ac at (0.000, 0.000, 0.000), Th at (0.000, 0.000, 0.500), Pt at (0.250, 0.250, 0.250) and Rh at (0.250, 0.250, 0.750).

As for the crystal system: cubic. Its total moment is 0.00 μB/f.u.

=====

b) Entry from Alexandria via LeMat-Bulk: AcThPtRh after structural relaxation (PBE).

The space group is Cm (No. 8) and the conventional cell measures 7.138, 4.118 and 7.828 Å, with angles of 90.00, 107.82 and 90.00 degrees. The inequivalent atoms are Ac at (0.000, 0.000, 0.000), Th at (0.167, 0.000, 0.503), Pt at (0.077, 0.500, 0.733) and Rh at (0.261, 0.500, 0.283).

As for the crystal system: monoclinic. Its total moment is 0.00 μB/f.u.

=====

Going by the computed energies, the most stable comes first: b), a).

=====

a) Entry from Alexandria via LeMat-Bulk: Ac6Ru2Pt after structural relaxation (PBE).

The space group is C2/m (No. 12) and the conventional cell measures 18.334, 4.384 and 8.370 Å, with angles of 90.00, 98.64 and 90.00 degrees. The inequivalent atoms are Ac at (0.007, 0.000, 0.252), Ac at (0.168, 0.500, 0.098), Ac at (0.170, 0.500, 0.573), Ru at (0.165, 0.000, 0.329) and Pt at (0.000, 0.500, 0.000).

As for the crystal system: monoclinic. Its total moment is 0.00 μB/f.u.

=====

b) Entry from Alexandria via LeMat-Bulk: Ac6Ru2Pt after structural relaxation (PBE).

The space group is C2/m (No. 12) and the conventional cell measures 15.813, 4.320 and 10.023 Å, with angles of 90.00, 95.72 and 90.00 degrees. The inequivalent atoms are Ac at (0.056, 0.000, 0.299), Ac at (0.139, 0.500, 0.987), Ac at (0.214, 0.000, 0.655), Ru at (0.210, 0.000, 0.192) and Pt at (0.000, 0.000, 0.000).

As for the crystal system: monoclinic. Its total moment is 0.00 μB/f.u.

=====

Going by the computed energies, the most stable comes first: a), b).